*one*
# AlCd2Cl8 | Alexandria | GGA-PBE | relaxed
data_AlCd2Cl8
_symmetry_space_group_name_H-M 'C 1 2/m 1'
_symmetry_Int_Tables_number 12
_cell_length_a 10.661
_cell_length_b 11.042
_cell_length_c 6.363
_cell_angle_alpha 90.00
_cell_angle_beta 105.92
_cell_angle_gamma 90.00
loop_
_symmetry_equiv_pos_as_xyz
'x,y,z'
'-x,-y,-z'
'-x,y,-z'
'x,-y,z'
'x+1/2,y+1/2,z'
'-x+1/2,-y+1/2,-z'
'-x+1/2,y+1/2,-z'
'x+1/2,-y+1/2,z'
loop_
_atom_site_label
_atom_site_type_symbol
_atom_site_fract_x
_atom_site_fract_y
_atom_site_fract_z
_atom_site_occupancy
Al1 Al 0.000 0.000 0.000 1
Cd1 Cd 0.216 0.000 0.670 1
Cl1 Cl 0.041 0.500 0.212 1
Cl2 Cl 0.082 0.152 0.816 1
Cl3 Cl 0.204 0.000 0.272 1
# **Crystal system**: monoclinic

=====

*two*
# AlCd2Cl8 | Alexandria | GGA-PBE | relaxed
data_AlCd2Cl8
_symmetry_space_group_name_H-M 'C 1 2/m 1'
_symmetry_Int_Tables_number 12
_cell_length_a 12.598
_cell_length_b 6.663
_cell_length_c 9.730
_cell_angle_alpha 90.00
_cell_angle_beta 112.74
_cell_angle_gamma 90.00
loop_
_symmetry_equiv_pos_as_xyz
'x,y,z'
'-x,-y,-z'
'-x,y,-z'
'x,-y,z'
'x+1/2,y+1/2,z'
'-x+1/2,-y+1/2,-z'
'-x+1/2,y+1/2,-z'
'x+1/2,-y+1/2,z'
loop_
_atom_site_label
_atom_site_type_symbol
_atom_site_fract_x
_atom_site_fract_y
_atom_site_fract_z
_atom_site_occupancy
Al1 Al 0.000 0.000 0.000 1
Cd1 Cd 0.245 0.500 0.645 1
Cl1 Cl 0.050 0.500 0.648 1
Cl2 Cl 0.122 0.236 0.128 1
Cl3 Cl 0.181 0.000 0.547 1
# **Crystal system**: monoclinic

=====

Which one sits at the bottom of the stability order? *two* does.

=====

*one*
# AlCd3Cl | Alexandria | GGA-PBE | relaxed
data_AlCd3Cl
_symmetry_space_group_name_H-M 'P m -3 m'
_symmetry_Int_Tables_number 221
_symmetry_space_group_name_Hall '-P 4 2 3'
_cell_length_a 5.255
_cell_length_b 5.255
_cell_length_c 5.255
_cell_angle_alpha 90.00
_cell_angle_beta 90.00
_cell_angle_gamma 90.00
loop_
_atom_site_label
_atom_site_type_symbol
_atom_site_fract_x
_atom_site_fract_y
_atom_site_fract_z
_atom_site_occupancy
Al1 Al 0.000 0.000 0.000 1
Cd1 Cd 0.000 0.000 0.500 1
Cl1 Cl 0.500 0.500 0.500 1
# **Crystal system**: cubic

=====

*two*
# AlCd3Cl | Alexandria | GGA-PBE | relaxed
data_AlCd3Cl
_symmetry_space_group_name_H-M 'P m -3 m'
_symmetry_Int_Tables_number 221
_symmetry_space_group_name_Hall '-P 4 2 3'
_cell_length_a 5.487
_cell_length_b 5.487
_cell_length_c 5.487
_cell_angle_alpha 90.00
_cell_angle_beta 90.00
_cell_angle_gamma 90.00
loop_
_atom_site_label
_atom_site_type_symbol
_atom_site_fract_x
_atom_site_fract_y
_atom_site_fract_z
_atom_site_occupancy
Al1 Al 0.000 0.000 0.000 1
Cd1 Cd 0.000 0.500 0.500 1
Cl1 Cl 0.500 0.500 0.500 1
# **Crystal system**: cubic

=====

Which one sits at the bottom of the stability order? *two* does.

=====

*one*
# AlCd2RuCl | Alexandria | GGA-PBE | relaxed
data_AlCd2RuCl
_symmetry_space_group_name_H-M 'P 4/m m m'
_symmetry_Int_Tables_number 123
_symmetry_space_group_name_Hall '-P 4 2'
_cell_length_a 5.223
_cell_length_b 5.223
_cell_length_c 4.756
_cell_angle_alpha 90.00
_cell_angle_beta 90.00
_cell_angle_gamma 90.00
loop_
_atom_site_label
_atom_site_type_symbol
_atom_site_fract_x
_atom_site_fract_y
_atom_site_fract_z
_atom_site_occupancy
Al1 Al 0.000 0.000 0.000 1
Cd1 Cd 0.000 0.500 0.000 1
Ru1 Ru 0.500 0.500 0.500 1
Cl1 Cl 0.000 0.000 0.500 1
# **Crystal system**: tetragonal

=====

*two*
# AlCd2RuCl | Alexandria | GGA-PBE | relaxed
data_AlCd2RuCl
_symmetry_space_group_name_H-M 'P 4/m m m'
_symmetry_Int_Tables_number 123
_symmetry_space_group_name_Hall '-P 4 2'
_cell_length_a 5.238
_cell_length_b 5.238
_cell_length_c 4.588
_cell_angle_alpha 90.00
_cell_angle_beta 90.00
_cell_angle_gamma 90.00
loop_
_atom_site_label
_atom_site_type_symbol
_atom_site_fract_x
_atom_site_fract_y
_atom_site_fract_z
_atom_site_occupancy
Al1 Al 0.000 0.000 0.000 1
Cd1 Cd 0.000 0.500 0.000 1
Ru1 Ru 0.000 0.000 0.500 1
Cl1 Cl 0.500 0.500 0.500 1
# **Crystal system**: tetragonal

=====

Which one sits at the bottom of the stability order? *one* does.

=====

*one*
# AlCdSCl2 | Alexandria | GGA-PBE | relaxed
data_AlCdSCl2
_symmetry_space_group_name_H-M 'P 4/m m m'
_symmetry_Int_Tables_number 123
_symmetry_space_group_name_Hall '-P 4 2'
_cell_length_a 4.695
_cell_length_b 4.695
_cell_length_c 4.822
_cell_angle_alpha 90.00
_cell_angle_beta 90.00
_cell_angle_gamma 90.00
loop_
_atom_site_label
_atom_site_type_symbol
_atom_site_fract_x
_atom_site_fract_y
_atom_site_fract_z
_atom_site_occupancy
Al1 Al 0.000 0.000 0.000 1
Cd1 Cd 0.500 0.500 0.500 1
S1 S 0.000 0.000 0.500 1
Cl1 Cl 0.000 0.500 0.000 1
# **Crystal system**: tetragonal

=====

*two*
# AlCdSCl2 | Alexandria | GGA-PBE | relaxed
data_AlCdSCl2
_symmetry_space_group_name_H-M 'P 4/m m m'
_symmetry_Int_Tables_number 123
_symmetry_space_group_name_Hall '-P 4 2'
_cell_length_a 5.186
_cell_length_b 5.186
_cell_length_c 5.157
_cell_angle_alpha 90.00
_cell_angle_beta 90.00
_cell_angle_gamma 90.00
loop_
_atom_site_label
_atom_site_type_symbol
_atom_site_fract_x
_atom_site_fract_y
_atom_site_fract_z
_atom_site_occupancy
Al1 Al 0.000 0.000 0.000 1
Cd1 Cd 0.500 0.500 0.500 1
S1 S 0.500 0.500 0.000 1
Cl1 Cl 0.000 0.500 0.500 1
# **Crystal system**: tetragonal

=====

Which one sits at the bottom of the stability order? *two* does.

=====

*one*
# Al2Cr2Cd | Alexandria | GGA-PBE | relaxed
data_Al2Cr2Cd
_symmetry_space_group_name_H-M 'P 4/m b m'
_symmetry_Int_Tables_number 127
_symmetry_space_group_name_Hall '-P 4 2ab'
_cell_length_a 7.320
_cell_length_b 7.320
_cell_length_c 2.979
_cell_angle_alpha 90.00
_cell_angle_beta 90.00
_cell_angle_gamma 90.00
loop_
_atom_site_label
_atom_site_type_symbol
_atom_site_fract_x
_atom_site_fract_y
_atom_site_fract_z
_atom_site_occupancy
Al1 Al 0.126 0.374 0.000 1
Cr1 Cr 0.169 0.669 0.500 1
Cd1 Cd 0.000 0.000 0.000 1
# **Crystal system**: tetragonal

=====

*two*
# Al2Cr2Cd | Alexandria | GGA-PBE | relaxed
data_Al2Cr2Cd
_symmetry_space_group_name_H-M 'P 4/m b m'
_symmetry_Int_Tables_number 127
_symmetry_space_group_name_Hall '-P 4 2ab'
_cell_length_a 7.293
_cell_length_b 7.293
_cell_length_c 2.884
_cell_angle_alpha 90.00
_cell_angle_beta 90.00
_cell_angle_gamma 90.00
loop_
_atom_site_label
_atom_site_type_symbol
_atom_site_fract_x
_atom_site_fract_y
_atom_site_fract_z
_atom_site_occupancy
Al1 Al 0.187 0.313 0.000 1
Cr1 Cr 0.102 0.602 0.500 1
Cd1 Cd 0.000 0.000 0.500 1
# **Crystal system**: tetragonal

=====

Which one sits at the bottom of the stability order? *two* does.

=====

*one*
# CsNa2AlCd | Alexandria | GGA-PBE | relaxed
data_CsNa2AlCd
_symmetry_space_group_name_H-M 'P 4/m m m'
_symmetry_Int_Tables_number 123
_symmetry_space_group_name_Hall '-P 4 2'
_cell_length_a 6.073
_cell_length_b 6.073
_cell_length_c 5.242
_cell_angle_alpha 90.00
_cell_angle_beta 90.00
_cell_angle_gamma 90.00
loop_
_atom_site_label
_atom_site_type_symbol
_atom_site_fract_x
_atom_site_fract_y
_atom_site_fract_z
_atom_site_occupancy
Cs1 Cs 0.000 0.000 0.000 1
Na1 Na 0.000 0.500 0.500 1
Al1 Al 0.500 0.500 0.500 1
Cd1 Cd 0.500 0.500 0.000 1
# **Crystal system**: tetragonal

=====

*two*
# CsNa2AlCd | Alexandria | GGA-PBE | relaxed
data_CsNa2AlCd
_symmetry_space_group_name_H-M 'P 4/m m m'
_symmetry_Int_Tables_number 123
_symmetry_space_group_name_Hall '-P 4 2'
_cell_length_a 6.087
_cell_length_b 6.087
_cell_length_c 5.147
_cell_angle_alpha 90.00
_cell_angle_beta 90.00
_cell_angle_gamma 90.00
loop_
_atom_site_label
_atom_site_type_symbol
_atom_site_fract_x
_atom_site_fract_y
_atom_site_fract_z
_atom_site_occupancy
Cs1 Cs 0.000 0.000 0.000 1
Na1 Na 0.000 0.500 0.500 1
Al1 Al 0.500 0.500 0.000 1
Cd1 Cd 0.500 0.500 0.500 1
# **Crystal system**: tetragonal

=====

Which one sits at the bottom of the stability order? *two* does.